Computed, not measured: a relaxed structure of CuAu2Cl at the PBE level of DFT.

The energy above the most stable polymorph in this dataset comes out at 0.024 eV/atom. Its energy relative to the elements, uncorrected is -11.4 meV per atom. Its symmetry is Cm.

Cell: 9.170 3.077 6.401 Å, 90.00 96.68 90.00°
Positions (direct):
Cu1 0.000 0.000 0.000
Cu2 0.500 0.500 0.000
Au1 0.029 0.500 0.664
Au2 0.269 0.000 0.842
Au3 0.529 0.000 0.664
Au4 0.769 0.500 0.842
Cl1 0.058 0.500 0.272
Cl2 0.558 0.000 0.272

---

Computed, not measured: a relaxed structure of Si4Rh at the PBE level of DFT.

Its energy relative to the elements, uncorrected is 598.2 meV per atom. Its symmetry is Pm-3m.

Cell: 4.607 4.607 4.607 Å, 90.00 90.00 90.00°
Positions (direct):
Si1 0.000 0.000 0.000
Si2 0.000 0.500 0.500
Si3 0.500 0.000 0.500
Si4 0.500 0.500 0.000
Rh1 0.500 0.500 0.500

---

Computed, not measured: a relaxed structure of AgSeO2F at the PBE level of DFT.

Its energy relative to the elements, uncorrected is -430.6 meV per atom. Its symmetry is P4/mmm.

Cell: 3.902 3.902 4.400 Å, 90.00 90.00 90.00°
Positions (direct):
Ag1 0.000 0.000 0.000
Se1 0.500 0.500 0.500
O1 0.000 0.500 0.500
O2 0.500 0.000 0.500
F1 0.500 0.500 0.000

---

Computed, not measured: a relaxed structure of BaVI2N at the PBE level of DFT.

The energy above the most stable polymorph in this dataset comes out at 0.000 eV/atom. Its energy relative to the elements, uncorrected is -614.0 meV per atom. Its symmetry is P4/mmm.

Cell: 5.923 5.923 3.853 Å, 90.00 90.00 90.00°
Positions (direct):
Ba1 0.000 0.000 0.000
V1 0.500 0.500 0.500
I1 0.000 0.500 0.500
I2 0.500 0.000 0.500
N1 0.500 0.500 0.000

---

Computed, not measured: a relaxed structure of H2RuPt at the PBE level of DFT.

The energy above the most stable polymorph in this dataset comes out at 0.053 eV/atom. Its symmetry is I-42d.

Cell: 4.208 4.208 8.442 Å, 90.00 90.00 90.00°
Positions (direct):
H1 0.244 0.250 0.125
H2 0.250 0.744 0.375
H3 0.250 0.756 0.875
H4 0.256 0.250 0.625
H5 0.744 0.750 0.625
H6 0.750 0.244 0.875
H7 0.750 0.256 0.375
H8 0.756 0.750 0.125
Ru1 0.000 0.000 0.000
Ru2 0.000 0.500 0.250
Ru3 0.500 0.000 0.750
Ru4 0.500 0.500 0.500
Pt1 0.000 0.000 0.500
Pt2 0.000 0.500 0.750
Pt3 0.500 0.000 0.250
Pt4 0.500 0.500 0.000

---

Computed, not measured: a relaxed structure of Hf3ZrSc2N6 at the PBE level of DFT.

Its energy relative to the elements, uncorrected is -1852.0 meV per atom. Its symmetry is C2/m.

Cell: 5.564 5.564 5.571 Å, 99.64 99.64 119.99°
Positions (direct):
Hf1 0.000 0.000 0.000
Hf2 0.331 0.669 0.000
Hf3 0.669 0.331 0.000
Zr1 0.500 0.500 0.500
Sc1 0.167 0.833 0.500
Sc2 0.833 0.167 0.500
N1 0.077 0.415 0.244
N2 0.249 0.249 0.759
N3 0.415 0.077 0.244
N4 0.585 0.923 0.756
N5 0.751 0.751 0.241
N6 0.923 0.585 0.756

---

Computed, not measured: a relaxed structure of Cu2MoH at the PBE level of DFT.

The energy above the most stable polymorph in this dataset comes out at 0.000 eV/atom. Its symmetry is I-42d.

Cell: 5.027 5.027 6.988 Å, 90.00 90.00 90.00°
Positions (direct):
Cu1 0.047 0.250 0.125
Cu2 0.250 0.547 0.375
Cu3 0.250 0.953 0.875
Cu4 0.453 0.250 0.625
Cu5 0.547 0.750 0.625
Cu6 0.750 0.047 0.875
Cu7 0.750 0.453 0.375
Cu8 0.953 0.750 0.125
Mo1 0.000 0.000 0.500
Mo2 0.000 0.500 0.750
Mo3 0.500 0.000 0.250
Mo4 0.500 0.500 0.000
H1 0.000 0.000 0.000
H2 0.000 0.500 0.250
H3 0.500 0.000 0.750
H4 0.500 0.500 0.500

---

Computed, not measured: a relaxed structure of TbGd2Be at the PBE level of DFT.

The energy above the most stable polymorph in this dataset comes out at 0.000 eV/atom. The calculation puts the energy relative to the elements at 8.12 kJ/mol of atoms. Its symmetry is P4/mmm.

Cell: 3.496 3.496 8.603 Å, 90.00 90.00 90.00°
Positions (direct):
Tb1 0.000 0.000 0.000
Gd1 0.500 0.500 0.307
Gd2 0.500 0.500 0.693
Be1 0.000 0.000 0.500

---

Computed, not measured: a relaxed structure of TlInSi at the PBE level of DFT.

The energy above the most stable polymorph in this dataset comes out at 0.000 eV/atom. Its energy relative to the elements, uncorrected is 308.0 meV per atom. Its symmetry is F-43m.

Cell: 6.867 6.867 6.867 Å, 90.00 90.00 90.00°
Positions (direct):
Tl1 0.000 0.000 0.000
Tl2 0.000 0.500 0.500
Tl3 0.500 0.000 0.500
Tl4 0.500 0.500 0.000
In1 0.000 0.000 0.500
In2 0.000 0.500 0.000
In3 0.500 0.000 0.000
In4 0.500 0.500 0.500
Si1 0.250 0.250 0.750
Si2 0.250 0.750 0.250
Si3 0.750 0.250 0.250
Si4 0.750 0.750 0.750

---

Computed, not measured: a relaxed structure of LiZn7Ga3 at the PBE level of DFT.

The calculation puts the energy relative to the elements at 7.80 kJ/mol of atoms. Its symmetry is C2/m.

Cell: 6.587 6.587 5.204 Å, 112.04 112.04 79.62°
Positions (direct):
Li1 0.000 0.000 0.000
Zn1 0.000 0.000 0.500
Zn2 0.070 0.550 0.832
Zn3 0.265 0.265 0.464
Zn4 0.450 0.930 0.168
Zn5 0.550 0.070 0.832
Zn6 0.735 0.735 0.536
Zn7 0.930 0.450 0.168
Ga1 0.310 0.690 0.500
Ga2 0.500 0.500 0.000
Ga3 0.690 0.310 0.500

---

| no. | total magnetic moment (μB per formula unit) |
| --- | --- |
| 1 | 0.0 |
| 2 | 0.0 |
| 3 | 0.0 |
| 4 | 1.8 |
| 5 | 1.1 |
| 6 | 0.0 |
| 7 | 0.0 |
| 8 | 14.4 |
| 9 | 0.0 |
| 10 | 0.0 |